(1)
# ScInP2 GGA-PBE relaxed
data_ScInP2
_chemical_formula_sum 'Sc2 In2 P4'
_cell_length_a 9.384
_cell_length_b 3.247
_cell_length_c 5.561
_cell_angle_alpha 90.00
_cell_angle_beta 93.34
_cell_angle_gamma 90.00
_space_group_name_H-M_alt 'C 1 2/m 1'
_space_group_IT_number 12
_space_group_name_Hall '-C 2y'
loop_
_atom_site_label
_atom_site_fract_x
_atom_site_fract_y
_atom_site_fract_z
Sc1 0.000 0.000 0.000
In1 0.000 0.500 0.500
P1 0.227 0.500 0.135
# - D(E_F) (states/eV/f.u.) = 3.1

---

(2)
# Co2P2Pb GGA-PBE relaxed
data_Co2P2Pb
_chemical_formula_sum 'Co4 P4 Pb2'
_cell_length_a 7.488
_cell_length_b 7.488
_cell_length_c 2.903
_cell_angle_alpha 90.00
_cell_angle_beta 90.00
_cell_angle_gamma 90.00
_space_group_name_H-M_alt 'P 4/m b m'
_space_group_IT_number 127
_space_group_name_Hall '-P 4 2ab'
loop_
_atom_site_label
_atom_site_fract_x
_atom_site_fract_y
_atom_site_fract_z
Co1 0.118 0.382 0.000
P1 0.119 0.619 0.500
Pb1 0.000 0.000 0.500
# - D(E_F) (states/eV/f.u.) = 4.3

---

(3)
# SrPrMgCu GGA-PBE relaxed
data_SrPrMgCu
_chemical_formula_sum 'Sr4 Pr4 Mg4 Cu4'
_cell_length_a 7.725
_cell_length_b 7.725
_cell_length_c 7.725
_cell_angle_alpha 90.00
_cell_angle_beta 90.00
_cell_angle_gamma 90.00
_space_group_name_H-M_alt 'F -4 3 m'
_space_group_IT_number 216
_space_group_name_Hall 'F -4 2 3'
loop_
_atom_site_label
_atom_site_fract_x
_atom_site_fract_y
_atom_site_fract_z
Sr1 0.000 0.000 0.000
Pr1 0.000 0.000 0.500
Mg1 0.250 0.250 0.250
Cu1 0.250 0.250 0.750
# - D(E_F) (states/eV/f.u.) = 4.3

---

(4)
Computed, not measured: a geometry-optimized K2PmPrTe4 structure at the GGA-PBE level of DFT.

Cell and atoms, written as CIF:
```
data_K2PmPrTe4
_chemical_formula_sum 'K2 Pm1 Pr1 Te4'
_cell_length_a 8.002
_cell_length_b 4.621
_cell_length_c 8.680
_cell_angle_alpha 90.00
_cell_angle_beta 107.86
_cell_angle_gamma 90.00
_space_group_name_H-M_alt 'P 1 2/m 1'
_space_group_IT_number 10
_space_group_name_Hall '-P 2y'
loop_
_atom_site_label
_atom_site_fract_x
_atom_site_fract_y
_atom_site_fract_z
K1 0.000 0.000 0.000
K2 0.500 0.500 0.000
Pm1 0.000 0.500 0.500
Pr1 0.500 0.000 0.500
Te1 0.235 0.000 0.714
Te2 0.259 0.500 0.284
```

---

(5)
# Sm3Dy4TmS8 GGA-PBE relaxed
data_Sm3Dy4TmS8
_chemical_formula_sum 'Sm9 Dy12 Tm3 S24'
_cell_length_a 7.8729
_cell_length_b 7.8729
_cell_length_c 19.3083
_cell_angle_alpha 90.00
_cell_angle_beta 90.00
_cell_angle_gamma 120.00
_space_group_name_H-M_alt 'R -3 m'
_space_group_IT_number 166
_space_group_name_Hall '-R 3 2"'
loop_
_atom_site_label
_atom_site_fract_x
_atom_site_fract_y
_atom_site_fract_z
Sm1 0.0000 0.5000 0.0000
Dy1 0.0000 0.0000 0.5000
Dy2 0.0000 0.5000 0.5000
Tm1 0.0000 0.0000 0.0000
S1 0.0000 0.0000 0.2465
S2 0.0077 0.5039 0.7515
# - D(E_F) (states/eV/f.u.) = 8.6

---

(6)
# LaPt3 GGA-PBE relaxed
data_LaPt3
_chemical_formula_sum 'La4 Pt12'
_cell_length_a 7.921
_cell_length_b 7.585
_cell_length_c 5.472
_cell_angle_alpha 90.00
_cell_angle_beta 90.00
_cell_angle_gamma 90.00
_space_group_name_H-M_alt 'P n m a'
_space_group_IT_number 62
_space_group_name_Hall '-P 2ac 2n'
loop_
_atom_site_label
_atom_site_fract_x
_atom_site_fract_y
_atom_site_fract_z
La1 0.040 0.250 0.129
Pt1 0.123 0.750 0.350
Pt2 0.163 0.051 0.596
# - D(E_F) (states/eV/f.u.) = 2.7

---

(7)
# Ac8Ge3SbTe4 GGA-PBE relaxed
data_Ac8Ge3SbTe4
_chemical_formula_sum 'Ac24 Ge9 Sb3 Te12'
_cell_length_a 9.4043
_cell_length_b 9.4043
_cell_length_c 23.3227
_cell_angle_alpha 90.00
_cell_angle_beta 90.00
_cell_angle_gamma 120.00
_space_group_name_H-M_alt 'R -3 m'
_space_group_IT_number 166
_space_group_name_Hall '-R 3 2"'
loop_
_atom_site_label
_atom_site_fract_x
_atom_site_fract_y
_atom_site_fract_z
Ac1 0.0000 0.0000 0.2413
Ac2 0.0096 0.5048 0.7575
Ge1 0.0000 0.5000 0.5000
Sb1 0.0000 0.0000 0.5000
Te1 0.0000 0.0000 0.0000
Te2 0.0000 0.5000 0.0000
# - D(E_F) (states/eV/f.u.) = 3.7

---

(8)
# CeZnAg GGA-PBE relaxed
data_CeZnAg
_chemical_formula_sum 'Ce2 Zn2 Ag2'
_cell_length_a 3.164
_cell_length_b 3.164
_cell_length_c 12.229
_cell_angle_alpha 90.00
_cell_angle_beta 90.00
_cell_angle_gamma 90.00
_space_group_name_H-M_alt 'I 4 m m'
_space_group_IT_number 107
_space_group_name_Hall 'I 4 -2'
loop_
_atom_site_label
_atom_site_fract_x
_atom_site_fract_y
_atom_site_fract_z
Ce1 0.000 0.000 0.000
Zn1 0.000 0.000 0.680
Ag1 0.000 0.000 0.307
# - D(E_F) (states/eV/f.u.) = 3.8

---

One value per record, in order, for electronic total energy: -42.6 -55.8 -47.8 -35.6 -305.7 -106.1 -251.0 -20.9 eV per cell.